Entry 1:
First-principles (PBE) data for Co2CuCl after structural relaxation, as listed in Alexandria via LeMat-Bulk.

Relative energy among the computed polymorphs (meV/atom): 496
Formation energy without anion corrections (eV/atom): 0.70
Calculated total energy (eV per atom): -4.335
Space-group type: I-4m2 (119)

Lattice parameters (Å, degrees): 4.623 4.623 4.623 132.63 132.63 69.24
Each line ends with the local moment (μB).
Fractional positions:
Co  0.000  0.000  0.000  1.76
Co  0.250  0.750  0.500  1.80
Cu  0.500  0.500  0.000  0.04
Cl  0.750  0.250  0.500  0.07

=====

Entry 2:
First-principles (PBE) data for Ce2SiMo after structural relaxation, as listed in Alexandria via LeMat-Bulk.

Formation energy without anion corrections (eV/atom): -0.16
Calculated total energy (eV per atom): -7.188
Space-group type: P4/mmm (123)

Lattice parameters (Å, degrees): 4.246 4.393 4.393 90.00 90.00 90.00
Fractional positions:
Ce  0.000  0.500  0.000
Ce  0.000  0.000  0.500
Si  0.500  0.000  0.000
Mo  0.500  0.500  0.500

=====

Entry 3:
First-principles (PBE) data for Tb2Pm3Cd after structural relaxation, as listed in Alexandria via LeMat-Bulk.

Relative energy among the computed polymorphs (meV/atom): 0
E_form (eV/atom): -0.091
Calculated total energy (eV per atom): -4.162
Space-group type: P4/mmm (123)

Lattice parameters (Å, degrees): 3.635 3.635 14.322 90.00 90.00 90.00
Fractional positions:
Pm  0.000  0.000  0.000
Pm  0.000  0.000  0.648
Pm  0.000  0.000  0.352
Tb  0.500  0.500  0.176
Tb  0.500  0.500  0.824
Cd  0.500  0.500  0.500

=====

Entry 4:
First-principles (PBE) data for HRu2Pb after structural relaxation, as listed in Alexandria via LeMat-Bulk.

Relative energy among the computed polymorphs (meV/atom): 591
Calculated total energy (eV per atom): -5.326
Space-group type: Fm-3m (225)

Lattice parameters (Å, degrees): 4.397 4.397 4.397 60.00 60.00 60.00
Each line ends with the local moment (μB).
Fractional positions:
H  0.000  0.000  0.000  -0.01
Ru  0.250  0.250  0.250  0.71
Ru  0.750  0.750  0.750  0.71
Pb  0.500  0.500  0.500  -0.02

=====

Entry 5:
First-principles (PBE) data for Ti6InIr after structural relaxation, as listed in Alexandria via LeMat-Bulk.

E_form (eV/atom): -0.004
Calculated total energy (eV per atom): -7.375
Space-group type: C2/m (12)

Lattice parameters (Å, degrees): 6.112 6.112 5.423 116.22 116.22 101.80
Fractional positions:
Ir  0.500  0.500  0.500
Ti  0.730  0.271  0.750
Ti  0.271  0.730  0.750
Ti  0.270  0.729  0.250
Ti  0.745  0.745  0.245
Ti  0.729  0.270  0.250
Ti  0.255  0.255  0.755
In  0.000  0.000  0.000

=====

Entry 6:
First-principles (PBE) data for LaHfCr3 after structural relaxation, as listed in Alexandria via LeMat-Bulk.

Relative energy among the computed polymorphs (meV/atom): 629
E_form (eV/atom): 1.745
Calculated total energy (eV per atom): -7.005
Space-group type: Pm-3m (221)

Lattice parameters (Å, degrees): 4.505 4.505 4.505 90.00 90.00 90.00
Fractional positions:
La  0.000  0.000  0.000
Cr  0.000  0.500  0.000
Cr  0.000  0.000  0.500
Cr  0.500  0.000  0.000
Hf  0.500  0.500  0.500

=====

Entry 7:
First-principles (PBE) data for Ca2PRu after structural relaxation, as listed in Alexandria via LeMat-Bulk.

E_form (eV/atom): -0.078
Calculated total energy (eV per atom): -4.750
Space-group type: P4/mmm (123)

Lattice parameters (Å, degrees): 3.196 3.196 8.136 90.00 90.00 90.00
Each line ends with the local moment (μB).
Fractional positions:
P  0.500  0.500  0.250  0.00
Ru  0.500  0.500  0.750  1.11
Ca  0.000  0.000  0.007  -0.02
Ca  0.000  0.000  0.493  -0.02

=====

Entry 8:
First-principles (PBE) data for ReHgW2 after structural relaxation, as listed in Alexandria via LeMat-Bulk.

E_form (eV/atom): 0.558
Calculated total energy (eV per atom): -9.106
Space-group type: R3m (160)

Lattice parameters (Å, degrees): 9.539 9.539 9.539 17.49 17.49 17.49
Fractional positions:
Re  0.743  0.743  0.743
W  0.003  0.003  0.003
W  0.255  0.255  0.255
Hg  0.499  0.499  0.499